Here is crystalline YH2PdS at its relaxed geometry from Alexandria via LeMat-Bulk. Energies are from PBE-GGA.

## Properties
Raw total energy in eV/cell: -26.0
Symmetry: P4/mmm (123)
Mass density in g/cm³: 5.48
Relative energy among the computed polymorphs in eV/atom: 0.000
D(E_F) in states/eV per atom: 0.334
Volume in Å³/cell: 69.56

Unit cell a=3.7483 b=3.7483 c=4.9508 alpha=90.00 beta=90.00 gamma=90.00
Positions (direct):
Y: 0.5000 0.5000 0.5000
H: 0.0000 0.5000 0.0000
H: 0.5000 0.0000 0.0000
S: 0.0000 0.0000 0.5000
Pd: 0.0000 0.0000 0.0000

***

Here is crystalline Ag3SeBr2 at its relaxed geometry from Alexandria via LeMat-Bulk. Energies are from PBE-GGA.

## Properties
Raw total energy in eV/cell: -32.7
Symmetry: C2/c (15)
Mass density in g/cm³: 6.62
Relative energy among the computed polymorphs in eV/atom: 0.015
D(E_F) in states/eV per atom: 0.526
Volume in Å³/cell: 282.06
ΔE_f (raw) in eV per atom: -0.160

Unit cell a=5.8827 b=7.7907 c=7.0893 alpha=105.81 beta=114.51 gamma=90.00
Positions (direct):
Ag: 0.4980 0.2500 0.0000
Ag: 0.5020 0.7500 0.0000
Ag: 0.1526 0.0757 0.3060
Ag: 0.8466 0.4243 0.6940
Ag: 0.1534 0.5757 0.3060
Ag: 0.8474 0.9243 0.6940
Se: 0.0007 0.7500 0.0000
Se: 0.9993 0.2500 0.0000
Br: 0.6771 0.5897 0.3536
Br: 0.6765 0.0897 0.3536
Br: 0.3235 0.9103 0.6464
Br: 0.3229 0.4103 0.6464

***

Here is crystalline Ag6IBr5 at its relaxed geometry from Alexandria via LeMat-Bulk. Energies are from PBE-GGA.

## Properties
Raw total energy in eV/cell: -30.4
Symmetry: C2/m (12)
Mass density in g/cm³: 6.35
Volume in Å³/cell: 307.08
ΔE_f (raw) in eV per atom: -0.280

Unit cell a=7.2179 b=7.2179 c=7.2153 alpha=99.66 beta=99.66 gamma=119.89
Positions (direct):
I: 0.0000 0.0000 0.0000
Br: 0.8312 0.1688 0.5000
Br: 0.6657 0.3343 0.0000
Br: 0.5000 0.5000 0.5000
Br: 0.3343 0.6657 0.0000
Br: 0.1688 0.8312 0.5000
Ag: 0.4247 0.0841 0.2518
Ag: 0.9159 0.5753 0.7482
Ag: 0.2560 0.2560 0.7461
Ag: 0.7440 0.7440 0.2539
Ag: 0.0841 0.4247 0.2518
Ag: 0.5753 0.9159 0.7482

***

Here is crystalline TiAl2Ag at its relaxed geometry from Alexandria via LeMat-Bulk. Energies are from PBE-GGA.

## Properties
Raw total energy in eV/cell: -19.2
Symmetry: P4/mmm (123)
Mass density in g/cm³: 5.31
Relative energy among the computed polymorphs in eV/atom: 0.034
D(E_F) in states/eV per atom: 0.449
Volume in Å³/cell: 65.63
ΔH_f (0 K) in eV per atom: -0.2508

Unit cell a=2.8878 b=2.8878 c=7.8701 alpha=90.00 beta=90.00 gamma=90.00
Positions (direct):
Al: 0.0000 0.0000 0.7456
Al: 0.0000 0.0000 0.2544
Ag: 0.5000 0.5000 0.0000
Ti: 0.5000 0.5000 0.5000

***

Here is crystalline PbS2N at its relaxed geometry from Alexandria via LeMat-Bulk. Energies are from PBE-GGA.

## Properties
Raw total energy in eV/cell: -15.6
Symmetry: R-3m (166)
Mass density in g/cm³: 6.16
Relative energy among the computed polymorphs in eV/atom: 0.709
D(E_F) in states/eV per atom: 0.628
Volume in Å³/cell: 76.94
ΔE_f (raw) in eV per atom: 1.183

Unit cell a=8.4611 b=8.4611 c=8.4611 alpha=22.37 beta=22.37 gamma=22.37
Positions (direct):
Pb: 0.0000 0.0000 0.0000
S: 0.8833 0.8833 0.8833
S: 0.1167 0.1167 0.1167
N: 0.5000 0.5000 0.5000

***

Copy entry 1 word for word.
Here is crystalline YH2PdS at its relaxed geometry from Alexandria via LeMat-Bulk. Energies are from PBE-GGA.

## Properties
Raw total energy in eV/cell: -26.0
Symmetry: P4/mmm (123)
Mass density in g/cm³: 5.48
Relative energy among the computed polymorphs in eV/atom: 0.000
D(E_F) in states/eV per atom: 0.334
Volume in Å³/cell: 69.56

Unit cell a=3.7483 b=3.7483 c=4.9508 alpha=90.00 beta=90.00 gamma=90.00
Positions (direct):
Y: 0.5000 0.5000 0.5000
H: 0.0000 0.5000 0.0000
H: 0.5000 0.0000 0.0000
S: 0.0000 0.0000 0.5000
Pd: 0.0000 0.0000 0.0000

***

> Which formula does entry 2 have?

Ag3SeBr2

***

> Look up the volume of the first one.

69.56 Å³/cell

***

> Number 5 is which compound?

PbS2N